# 1
The following is a PBE calculation of an optimized crystal structure of Sm5InAu, from Alexandria.

abc: 6.4803 6.4803 10.4919
angles: 91.48 91.48 92.65
Last column: nearest neighbours and their distance in Å.
Fractional positions:
Sm  0.0533  0.6186  0.3419  1 Au 2.98, 1 In 3.31
Sm  0.1404  0.8596  0.7500  2 Au 2.93, 1 In 3.24
Sm  0.2312  0.4142  0.9964  1 Au 3.01, 2 In 3.17-3.20, 1 Sm 3.25
Sm  0.3814  0.9467  0.1581  1 Au 2.98, 1 In 3.31
Sm  0.4142  0.2312  0.4964  1 Au 3.01, 2 In 3.17-3.20, 1 Sm 3.25
Sm  0.5858  0.7688  0.5036  1 Au 3.01, 2 In 3.17-3.20, 1 Sm 3.25
Sm  0.6186  0.0533  0.8419  1 Au 2.98, 1 In 3.31
Sm  0.7688  0.5858  0.0036  1 Au 3.01, 2 In 3.17-3.20, 1 Sm 3.25
Sm  0.8596  0.1404  0.2500  2 Au 2.93, 1 In 3.24
Sm  0.9467  0.3814  0.6581  1 Au 2.98, 1 In 3.31
In  0.4860  0.5140  0.7500  7 Sm 3.17-3.31
In  0.5140  0.4860  0.2500  7 Sm 3.17-3.31
Au  0.0000  0.0000  0.0000  6 Sm 2.93-3.01
Au  0.0000  0.0000  0.5000  6 Sm 2.93-3.01

Calculated values
ΔH_f (0 K)   -1.64 eV per formula unit
N(E_F)   1.466 states/eV/atom


# 2
The following is a PBE calculation of an optimized crystal structure of Mg16UAl12, from Alexandria.

abc: 9.2233 9.2233 9.2233
angles: 110.19 110.19 110.19
Last column: nearest neighbours and their distance in Å.
Fractional positions:
Mg  0.0000  0.0000  0.0000  3 Mg 3.15, 12 Al 3.18-3.21, 1 U 3.33
Mg  0.0015  0.0015  0.6594  4 Mg 3.05-3.15, 6 Al 3.07-3.13
Mg  0.0015  0.6594  0.0015  4 Mg 3.05-3.15, 6 Al 3.07-3.13
Mg  0.0060  0.3962  0.6946  4 Al 2.95-3.20, 7 Mg 3.05-3.17
Mg  0.0060  0.6946  0.3962  4 Al 2.95-3.20, 7 Mg 3.05-3.17
Mg  0.2796  0.6121  0.6121  5 Al 2.82-3.12, 1 U 3.12, 4 Mg 3.13
Mg  0.3215  0.3215  0.7240  3 Al 2.84-2.97, 5 Mg 3.06-3.17
Mg  0.3215  0.7240  0.3215  3 Al 2.84-2.97, 5 Mg 3.06-3.17
Mg  0.3962  0.0060  0.6946  4 Al 2.95-3.20, 7 Mg 3.05-3.17
Mg  0.3962  0.6946  0.0060  4 Al 2.95-3.20, 7 Mg 3.05-3.17
Mg  0.6121  0.2796  0.6121  5 Al 2.82-3.12, 1 U 3.12, 4 Mg 3.13
Mg  0.6121  0.6121  0.2796  5 Al 2.82-3.12, 1 U 3.12, 4 Mg 3.13
Mg  0.6594  0.0015  0.0015  4 Mg 3.05-3.15, 6 Al 3.07-3.13
Mg  0.6946  0.0060  0.3962  4 Al 2.95-3.20, 7 Mg 3.05-3.17
Mg  0.6946  0.3962  0.0060  4 Al 2.95-3.20, 7 Mg 3.05-3.17
Mg  0.7240  0.3215  0.3215  3 Al 2.84-2.97, 5 Mg 3.06-3.17
U  0.3743  0.3743  0.3743  4 Mg 3.12-3.33, 9 Al 3.18-3.23
Al  0.0088  0.1923  0.3699  3 Al 2.69-2.79, 3 Mg 2.95-2.97
Al  0.0088  0.3699  0.1923  3 Al 2.69-2.79, 3 Mg 2.95-2.97
Al  0.1746  0.8135  0.8135  3 Al 2.67-2.79, 3 Mg 2.82-2.99
Al  0.1923  0.0088  0.3699  3 Al 2.69-2.79, 3 Mg 2.95-2.97
Al  0.1923  0.3699  0.0088  3 Al 2.69-2.79, 3 Mg 2.95-2.97
Al  0.3699  0.0088  0.1923  3 Al 2.69-2.79, 3 Mg 2.95-2.97
Al  0.3699  0.1923  0.0088  3 Al 2.69-2.79, 3 Mg 2.95-2.97
Al  0.6298  0.6298  0.8114  3 Al 2.67-2.75, 1 Mg 2.84
Al  0.6298  0.8114  0.6298  3 Al 2.67-2.75, 1 Mg 2.84
Al  0.8114  0.6298  0.6298  3 Al 2.67-2.75, 1 Mg 2.84
Al  0.8135  0.1746  0.8135  3 Al 2.67-2.79, 3 Mg 2.82-2.99
Al  0.8135  0.8135  0.1746  3 Al 2.67-2.79, 3 Mg 2.82-2.99

Calculated values
ΔH_f (0 K)   -0.41 eV per formula unit
E above lowest polymorph   15 meV per atom
N(E_F)   0.581 states/eV/atom


# 3
The following is a PBE calculation of an optimized crystal structure of MnP2SeS, from Alexandria.

abc: 4.5576 4.5576 4.1370
angles: 90.00 90.00 90.00
Last column: nearest neighbours and their distance in Å.
Fractional positions:
Mn  0.0000  0.0000  0.0000  2 S 2.07, 4 P 2.28
P  0.0000  0.5000  0.0000  2 Mn 2.28
P  0.5000  0.0000  0.0000  2 Mn 2.28
Se  0.5000  0.5000  0.5000  8 P 3.08, 4 S 3.22
S  0.0000  0.0000  0.5000  2 Mn 2.07

Calculated values
E above lowest polymorph   0 meV per atom
N(E_F)   0.519 states/eV/atom
ΔE_f (raw)   0.4296 eV per atom